A plane-wave DFT calculation with PBE was carried out for crystalline TbSc2N at its relaxed geometry.

CIF file:
```
data_TbSc2N
_chemical_formula_sum 'Tb3 Sc6 N3'
_space_group_name_H-M_alt 'R -3 m'
_space_group_IT_number 166
_space_group_name_Hall '-R 3 2"'
_cell_length_a 3.2452
_cell_length_b 3.2452
_cell_length_c 26.7975
_cell_angle_alpha 90.00
_cell_angle_beta 90.00
_cell_angle_gamma 120.00
loop_
_atom_site_label
_atom_site_type_symbol
_atom_site_fract_x
_atom_site_fract_y
_atom_site_fract_z
_atom_site_occupancy
Tb1 Tb 0.0000 0.0000 0.0000 1
Sc1 Sc 0.0000 0.0000 0.1218 1
N1 N 0.0000 0.0000 0.5000 1
```

Computed properties:
Crystal system: trigonal
Formation energy (no corrections), meV/atom: -800
Theoretical density, Mg/m³: 5.36

=====

A plane-wave DFT calculation with PBE was carried out for crystalline K2GaAsS4 at its relaxed geometry.

CIF file:
```
data_K2GaAsS4
_chemical_formula_sum 'K16 Ga8 As8 S32'
_space_group_name_H-M_alt 'F d d d'
_space_group_IT_number 70
_cell_length_a 6.143
_cell_length_b 13.827
_cell_length_c 22.237
_cell_angle_alpha 90.00
_cell_angle_beta 90.00
_cell_angle_gamma 90.00
loop_
_space_group_symop_operation_xyz
'x,y,z'
'-x,-y,-z'
'-x+1/4,-y+1/4,z'
'x+1/4,y+1/4,-z'
'x,-y+1/4,-z+1/4'
'-x,y+1/4,z+1/4'
'-x+1/4,y,-z+1/4'
'x+1/4,-y,z+1/4'
'x,y+1/2,z+1/2'
'-x,-y+1/2,-z+1/2'
'-x+1/4,-y+3/4,z+1/2'
'x+1/4,y+3/4,-z+1/2'
'x,-y+3/4,-z+3/4'
'-x,y+3/4,z+3/4'
'-x+1/4,y+1/2,-z+3/4'
'x+1/4,-y+1/2,z+3/4'
'x+1/2,y,z+1/2'
'-x+1/2,-y,-z+1/2'
'-x+3/4,-y+1/4,z+1/2'
'x+3/4,y+1/4,-z+1/2'
'x+1/2,-y+1/4,-z+3/4'
'-x+1/2,y+1/4,z+3/4'
'-x+3/4,y,-z+3/4'
'x+3/4,-y,z+3/4'
'x+1/2,y+1/2,z'
'-x+1/2,-y+1/2,-z'
'-x+3/4,-y+3/4,z'
'x+3/4,y+3/4,-z'
'x+1/2,-y+3/4,-z+1/4'
'-x+1/2,y+3/4,z+1/4'
'-x+3/4,y+1/2,-z+1/4'
'x+3/4,-y+1/2,z+1/4'
loop_
_atom_site_label
_atom_site_type_symbol
_atom_site_fract_x
_atom_site_fract_y
_atom_site_fract_z
_atom_site_occupancy
K1 K 0.125 0.125 0.306 1
Ga1 Ga 0.125 0.125 0.125 1
As1 As 0.125 0.125 0.625 1
S1 S 0.102 0.277 0.430 1
```

Computed properties:
Crystal system: orthorhombic
Formation energy (no corrections), meV/atom: -721
Theoretical density, Mg/m³: 2.47

=====

A plane-wave DFT calculation with PBE was carried out for crystalline Fe2ReB at its relaxed geometry.

CIF file:
```
data_Fe2ReB
_chemical_formula_sum 'Fe4 Re2 B2'
_space_group_name_H-M_alt 'C m m m'
_space_group_IT_number 65
_space_group_name_Hall '-C 2 2'
_cell_length_a 4.292
_cell_length_b 7.475
_cell_length_c 2.752
_cell_angle_alpha 90.00
_cell_angle_beta 90.00
_cell_angle_gamma 90.00
loop_
_atom_site_label
_atom_site_type_symbol
_atom_site_fract_x
_atom_site_fract_y
_atom_site_fract_z
_atom_site_occupancy
Fe1 Fe 0.000 0.180 0.000 1
Re1 Re 0.000 0.500 0.500 1
B1 B 0.000 0.000 0.500 1
```

Computed properties:
Crystal system: orthorhombic
E_form, eV/f.u.: 0.56
Theoretical density, Mg/m³: 11.61

=====

Question: What is the formula in the third record?
Answer: Fe2ReB